No. 1
Crystalline LiPrUN3 at its relaxed geometry, computed with PBE.

Cell and atoms, written as CIF:
```
data_LiPrUN3
_chemical_formula_sum 'Li2 Pr2 U2 N6'
_space_group_name_H-M_alt 'P 1 21/m 1'
_space_group_IT_number 11
_space_group_name_Hall '-P 2yb'
_cell_length_a 7.0418
_cell_length_b 3.5058
_cell_length_c 7.1902
_cell_angle_alpha 90.00
_cell_angle_beta 103.66
_cell_angle_gamma 90.00
loop_
_atom_site_label
_atom_site_type_symbol
_atom_site_fract_x
_atom_site_fract_y
_atom_site_fract_z
Li1 Li 0.0840 0.2500 0.0725
Pr1 Pr 0.2797 0.7500 0.8164
U1 U 0.3253 0.7500 0.3258
N1 N 0.0319 0.7500 0.2058
N2 N 0.3626 0.2500 0.1216
N3 N 0.3687 0.2500 0.5714
```

Magnetic moment: 0.10 μB/atom
ΔE_f (raw): -1143 meV/atom
Crystal system: monoclinic



No. 2
Crystalline LiPrU2N4 at its relaxed geometry, computed with PBE.

Cell and atoms, written as CIF:
```
data_LiPrU2N4
_chemical_formula_sum 'Li4 Pr4 U8 N16'
_space_group_name_H-M_alt 'C m c m'
_space_group_IT_number 63
_space_group_name_Hall '-C 2c 2'
_cell_length_a 3.5379
_cell_length_b 11.3056
_cell_length_c 11.2306
_cell_angle_alpha 90.00
_cell_angle_beta 90.00
_cell_angle_gamma 90.00
loop_
_atom_site_label
_atom_site_type_symbol
_atom_site_fract_x
_atom_site_fract_y
_atom_site_fract_z
Li1 Li 0.0000 0.1628 0.2500
Pr1 Pr 0.0000 0.1050 0.7500
U1 U 0.0000 0.3715 0.5581
N1 N 0.0000 0.0000 0.0000
N2 N 0.0000 0.2611 0.1073
N3 N 0.0000 0.4388 0.7500
```

Magnetic moment: 0.43 μB/atom
ΔE_f (raw): -1228 meV/atom
Crystal system: orthorhombic



No. 3
Crystalline LiPrVN3 at its relaxed geometry, computed with PBE.

Cell and atoms, written as CIF:
```
data_LiPrVN3
_chemical_formula_sum 'Li4 Pr4 V4 N12'
_space_group_name_H-M_alt 'C m c m'
_space_group_IT_number 63
_space_group_name_Hall '-C 2c 2'
_cell_length_a 5.4083
_cell_length_b 9.9679
_cell_length_c 5.2631
_cell_angle_alpha 90.00
_cell_angle_beta 90.00
_cell_angle_gamma 90.00
loop_
_atom_site_label
_atom_site_type_symbol
_atom_site_fract_x
_atom_site_fract_y
_atom_site_fract_z
Li1 Li 0.0000 0.0719 0.2500
Pr1 Pr 0.0000 0.2102 0.7500
V1 V 0.0000 0.4497 0.2500
N1 N 0.0000 0.2678 0.2500
N2 N 0.2412 0.5000 0.0000
```

Magnetic moment: 0.00 μB/atom
ΔE_f (raw): -950 meV/atom
Crystal system: orthorhombic



The highest magnetic moment belongs to which entry?
LiPrU2N4



What is the magnetic moment in the second record?
0.43 μB/atom